Density functional theory data (GGA+U) for a relaxed structure of PaCr2CuO8.

It has space group I-4m2 (No. 119), with a = 6.943 Å, b = 6.943 Å, c = 6.510 Å, α = 90.00°, β = 90.00° and γ = 90.00°. Symmetry generates all atoms from Pa at (0.000, 0.000, 0.000), Cr at (0.000, 0.000, 0.500), Cr at (0.000, 0.500, 0.750), Cu at (0.000, 0.500, 0.250), O at (0.000, 0.190, 0.337) and O at (0.000, 0.295, 0.915).

Its final energy is -7.450 eV per atom. For the spin magnetization, the calculation gives 1.90 μB/f.u.